Entry 1:
A plane-wave DFT calculation with PBE-GGA was carried out for a geometry-optimized CaMg2Sn2Pd2 structure. Values from VASP.

V, A^3/atom: 21.90
ΔE_f, eV per atom: -0.567
Spin magnetization, μB per formula unit: 0.0

```
&SYSTEM
  ibrav = 0, nat = 7, ntyp = 4
/
ATOMIC_SPECIES
Ca 40.08 Ca.upf
Mg 24.30 Mg.upf
Sn 118.71 Sn.upf
Pd 106.42 Pd.upf
CELL_PARAMETERS angstrom
4.5529 0.0000 0.0000
2.2765 3.9429 0.0000
2.2765 1.3143 8.5387
ATOMIC_POSITIONS angstrom
Ca 0.0000 0.0000 0.0000
Mg 2.2765 1.3143 4.9791
Mg 6.8294 3.9429 3.5597
Sn 6.8294 3.9429 6.6067
Sn 2.2764 1.3143 1.9321
Pd 4.5529 2.6286 2.7825
Pd 4.5529 2.6286 5.7562
```


Entry 2:
A plane-wave DFT calculation with PBE-GGA was carried out for a geometry-optimized Li2AgGe2 structure. Values from VASP.

V, A^3/atom: 18.60
ΔE_f, eV per atom: -0.141
ΔE to the lowest computed polymorph, eV per atom: 0.034
Spin magnetization, μB per formula unit: 0.0

```
&SYSTEM
  ibrav = 0, nat = 5, ntyp = 3
/
ATOMIC_SPECIES
Ge 72.64 Ge.upf
Li 6.94 Li.upf
Ag 107.87 Ag.upf
CELL_PARAMETERS angstrom
-1.2217 -3.4388 2.4184
1.0151 -4.6959 -2.2019
4.0029 -2.9502 1.7898
ATOMIC_POSITIONS angstrom
Ge 2.5929 -5.1365 1.9314
Ge 1.2033 -5.9484 0.0749
Li 2.4746 -8.0625 1.6737
Li 1.3216 -3.0224 0.3326
Ag 0.0000 0.0000 0.0000
```


Entry 3:
A plane-wave DFT calculation with PBE-GGA was carried out for a geometry-optimized OsSe structure. Values from VASP.

V, A^3/atom: 16.38
Spin magnetization, μB per formula unit: 0.0
Final energy, eV per atom: -6.567

```
&SYSTEM
  ibrav = 0, nat = 4, ntyp = 2
/
ATOMIC_SPECIES
Se 78.96 Se.upf
Os 190.23 Os.upf
CELL_PARAMETERS angstrom
5.6931 -0.0133 0.0003
3.1914 4.7145 -0.0003
-3.9266 -3.3250 2.4367
ATOMIC_POSITIONS angstrom
Se 4.6694 2.4709 0.0000
Se 1.6263 1.7499 1.2182
Os 3.2368 -0.4237 1.2185
Os 8.7520 4.6312 0.0000
```


Entry 4:
A plane-wave DFT calculation with PBE-GGA was carried out for a geometry-optimized BeNiCl structure. Values from VASP.

V, A^3/atom: 13.92
ΔE to the lowest computed polymorph, eV per atom: 0.420
Spin magnetization, μB per formula unit: 0.0

```
&SYSTEM
  ibrav = 0, nat = 3, ntyp = 3
/
ATOMIC_SPECIES
Be 9.01 Be.upf
Cl 35.45 Cl.upf
Ni 58.69 Ni.upf
CELL_PARAMETERS angstrom
-1.2821 1.6378 2.0500
-1.0978 -2.6214 -0.6725
3.2705 -2.3826 3.9489
ATOMIC_POSITIONS angstrom
Be 0.0490 -0.0357 0.0591
Cl -0.4027 -0.3779 2.1302
Ni 1.2443 -2.9527 3.1371
```


Entry 5:
A plane-wave DFT calculation with PBE-GGA was carried out for a geometry-optimized MgInH2 structure. Values from VASP.

V, A^3/atom: 15.69
ΔE to the lowest computed polymorph, eV per atom: 0.178
Spin magnetization, μB per formula unit: 0.0

```
&SYSTEM
  ibrav = 0, nat = 8, ntyp = 3
/
ATOMIC_SPECIES
H 1.01 H.upf
Mg 24.30 Mg.upf
In 114.82 In.upf
CELL_PARAMETERS angstrom
-1.2692 -2.4641 4.2975
-1.5441 -4.0185 -2.7602
3.0114 -5.1023 1.0065
ATOMIC_POSITIONS angstrom
H -0.0562 -2.9738 1.9924
H 0.0126 -8.9378 2.4855
H 0.9880 -6.8188 0.9459
H -0.5481 -4.4392 -0.3362
Mg 0.0304 -6.1810 -0.4925
Mg -1.4067 -3.2413 0.7687
In 0.1678 -5.4038 3.0363
In 0.0000 0.0000 0.0000
```


Entry 6:
A plane-wave DFT calculation with PBE-GGA was carried out for a geometry-optimized CsLiCd2 structure. Values from VASP.

V, A^3/atom: 37.29
ΔE_f, eV per atom: 0.129
ΔE to the lowest computed polymorph, eV per atom: 0.166
Spin magnetization, μB per formula unit: 0.0

```
&SYSTEM
  ibrav = 0, nat = 4, ntyp = 3
/
ATOMIC_SPECIES
Cd 112.41 Cd.upf
Cs 132.91 Cs.upf
Li 6.94 Li.upf
CELL_PARAMETERS angstrom
0.0000 4.2093 4.2093
4.2093 0.0000 4.2093
4.2093 4.2093 0.0000
ATOMIC_POSITIONS angstrom
Cd 6.3139 6.3139 6.3139
Cd 2.1046 2.1046 2.1046
Cs 4.2093 4.2093 4.2093
Li 0.0000 0.0000 0.0000
```


Entry 7:
A plane-wave DFT calculation with PBE-GGA was carried out for a geometry-optimized PmNd5Zn6 structure. Values from VASP.

V, A^3/atom: 24.93
ΔE_f, eV per atom: -0.309
Spin magnetization, μB per formula unit: 0.0

```
&SYSTEM
  ibrav = 0, nat = 12, ntyp = 3
/
ATOMIC_SPECIES
Nd 144.24 Nd.upf
Zn 65.41 Zn.upf
Pm 145.00 Pm.upf
CELL_PARAMETERS angstrom
-1.6927 -2.7182 4.0932
-6.3443 -1.3405 -3.5138
2.2166 -7.8597 -1.0036
ATOMIC_POSITIONS angstrom
Nd -2.9957 -4.2001 -0.7289
Nd 0.1736 -3.5239 1.0309
Nd -3.1721 -0.6703 -1.7569
Nd -2.8247 -7.7183 0.3046
Nd 0.3502 -7.0541 2.0588
Zn -2.2561 -5.2095 2.2057
Zn -3.5643 -6.7090 -2.6299
Zn -5.4405 -5.8824 0.4423
Zn -0.3799 -6.0360 -0.8665
Zn -5.6141 -2.3664 -0.5943
Zn -2.4229 -1.6923 1.1737
Pm 0.0000 0.0000 0.0000
```


Entry 8:
A plane-wave DFT calculation with PBE-GGA was carried out for a geometry-optimized BiS2F structure. Values from VASP.

V, A^3/atom: 21.08
ΔE to the lowest computed polymorph, eV per atom: 0.000
Spin magnetization, μB per formula unit: 0.0

```
&SYSTEM
  ibrav = 0, nat = 8, ntyp = 3
/
ATOMIC_SPECIES
S 32.06 S.upf
F 19.00 F.upf
Bi 208.98 Bi.upf
CELL_PARAMETERS angstrom
-6.7235 4.7430 -2.2553
-1.9713 -5.6749 -6.0579
-5.6691 -1.6207 -2.6448
ATOMIC_POSITIONS angstrom
S -6.0843 2.0039 -2.9013
S -11.9238 -2.2153 -9.4545
S -3.2713 -3.5132 -4.6560
S -7.4483 -1.3806 -4.9042
F -4.3474 -0.4659 -4.1566
F -5.9939 -3.8808 -6.4296
Bi -8.3700 1.3282 -4.5284
Bi 0.0000 0.0000 0.0000
```


Entry 9:
A plane-wave DFT calculation with PBE-GGA was carried out for a geometry-optimized CaBrCl2 structure. Values from VASP.

V, A^3/atom: 24.11
ΔE to the lowest computed polymorph, eV per atom: 0.350
Spin magnetization, μB per formula unit: 0.0

```
&SYSTEM
  ibrav = 0, nat = 4, ntyp = 3
/
ATOMIC_SPECIES
Cl 35.45 Cl.upf
Br 79.90 Br.upf
Ca 40.08 Ca.upf
CELL_PARAMETERS angstrom
-3.9636 4.4211 -1.5404
-4.3903 -0.9582 -4.1757
2.3134 -2.6464 5.0273
ATOMIC_POSITIONS angstrom
Cl 0.0000 0.0000 0.0000
Cl -3.1269 -0.9365 -1.0032
Br -4.1769 1.7315 -2.8580
Ca -2.9136 1.7531 0.3145
```


Entry 10:
A plane-wave DFT calculation with PBE-GGA was carried out for a geometry-optimized LiAcPbAu structure. Values from VASP.

V, A^3/atom: 26.36
ΔE_f, eV per atom: -0.469
ΔE to the lowest computed polymorph, eV per atom: 0.004
Spin magnetization, μB per formula unit: 0.0

```
&SYSTEM
  ibrav = 0, nat = 4, ntyp = 4
/
ATOMIC_SPECIES
Au 196.97 Au.upf
Ac 227.00 Ac.upf
Pb 207.20 Pb.upf
Li 6.94 Li.upf
CELL_PARAMETERS angstrom
4.8467 0.0000 0.0000
-2.4233 4.1912 -0.0022
0.0000 -2.7920 5.1912
ATOMIC_POSITIONS angstrom
Au 0.0000 1.0077 4.3074
Ac 2.4233 -0.3949 2.5848
Pb 0.0000 0.9970 0.1978
Li 2.4233 2.3930 0.5232
```


Entry 11:
A plane-wave DFT calculation with PBE-GGA was carried out for a geometry-optimized KSmSiO4 structure. Values from VASP.

V, A^3/atom: 16.51
Spin magnetization, μB per formula unit: 0.0
Final energy, eV per atom: -7.301

```
&SYSTEM
  ibrav = 0, nat = 14, ntyp = 4
/
ATOMIC_SPECIES
O 16.00 O.upf
Sm 150.36 Sm.upf
K 39.10 K.upf
Si 28.09 Si.upf
CELL_PARAMETERS angstrom
-1.9583 -5.3823 -0.0869
4.9427 -1.8320 2.0885
-1.8494 2.5858 6.6450
ATOMIC_POSITIONS angstrom
O -0.7582 -4.1596 5.4932
O 1.8933 -0.4690 3.1534
O -3.0055 -3.3267 4.5437
O 4.1406 -1.3020 4.1029
O 2.5045 -3.1849 2.8238
O 1.8699 -2.2020 5.1878
O -1.3694 -1.4438 5.8227
O -0.7349 -2.4266 3.4588
Sm -0.2118 -0.2206 4.1560
Sm 1.3468 -4.4080 4.4906
K 0.6603 -2.6819 7.6296
K 0.4747 -1.9468 1.0170
Si 2.6120 -1.8411 3.7483
Si -1.4769 -2.7875 4.8983
```


Entry 12:
A plane-wave DFT calculation with PBE-GGA was carried out for a geometry-optimized K11Rb17Na structure. Values from VASP.

V, A^3/atom: 81.86
ΔE_f, eV per atom: 0.011
Spin magnetization, μB per formula unit: 0.0

```
&SYSTEM
  ibrav = 0, nat = 29, ntyp = 3
/
ATOMIC_SPECIES
K 39.10 K.upf
Rb 85.47 Rb.upf
Na 22.99 Na.upf
CELL_PARAMETERS angstrom
-12.9347 -2.7648 6.2519
2.8400 -10.0268 -10.2682
10.3475 -0.4135 10.0623
ATOMIC_POSITIONS angstrom
K 10.1858 -6.6504 1.7114
K 6.6825 -2.8580 7.6373
K -8.1069 -4.2381 5.0971
K -5.8395 -9.9016 -4.3961
K -0.5148 -3.0716 3.9979
K -8.7179 -8.5765 -1.3818
K -4.0436 -2.5273 11.4281
K 1.8502 -8.8219 -5.3305
K 8.8194 -8.4489 -2.0428
K 2.3333 -4.3827 1.0153
K 0.2622 -2.0820 12.1039
Rb 2.0570 -1.1309 7.9517
Rb -7.9685 -8.8382 3.3367
Rb 7.0381 -3.4240 2.7352
Rb -0.9667 -4.9727 8.2895
Rb 3.3647 -5.4630 5.6144
Rb 0.9373 -8.4142 -0.7697
Rb -3.9286 -6.1742 4.3261
Rb -6.7287 -4.8079 0.4790
Rb -6.3673 -12.9086 -0.4056
Rb -1.5629 -11.7870 -3.3715
Rb 0.1491 -8.5131 3.8845
Rb 5.4081 -7.9074 1.6135
Rb -3.9327 -8.6921 0.0656
Rb -0.0098 -0.0381 0.0074
Rb -2.3825 -6.8087 -4.0726
Rb 0.9662 -3.5747 -3.6126
Rb -4.5739 -1.0242 2.1893
Na -1.8183 -4.8010 0.3742
```


Entry 13:
A plane-wave DFT calculation with PBE-GGA was carried out for a geometry-optimized PmGdPbBr structure. Values from VASP.

V, A^3/atom: 28.39
Spin magnetization, μB per formula unit: 7.7
Final energy, eV per atom: -6.811

```
&SYSTEM
  ibrav = 0, nat = 4, ntyp = 4
/
ATOMIC_SPECIES
Br 79.90 Br.upf
Pm 145.00 Pm.upf
Gd 157.25 Gd.upf
Pb 207.20 Pb.upf
CELL_PARAMETERS angstrom
5.4353 0.0000 0.0000
2.7176 4.7071 0.0000
2.7176 1.5690 4.4379
ATOMIC_POSITIONS angstrom
Br 2.7176 1.5690 1.1095
Pm 0.0000 0.0000 0.0000
Gd 5.4353 3.1381 2.2189
Pb 8.1529 4.7071 3.3284
```


Entry 14:
A plane-wave DFT calculation with PBE-GGA was carried out for a geometry-optimized KFeP2 structure. Values from VASP.

V, A^3/atom: 18.23
ΔE_f, eV per atom: 0.928
ΔE to the lowest computed polymorph, eV per atom: 1.186
Spin magnetization, μB per formula unit: 2.8

```
&SYSTEM
  ibrav = 0, nat = 4, ntyp = 3
/
ATOMIC_SPECIES
P 30.97 P.upf
K 39.10 K.upf
Fe 55.84 Fe.upf
CELL_PARAMETERS angstrom
-1.4726 3.2150 3.0793
-3.8025 2.5777 -0.9397
-3.9618 -0.7017 2.4081
ATOMIC_POSITIONS angstrom
P -2.3092 1.2728 1.1369
P 0.0000 0.0000 0.0000
K -6.9277 3.8183 3.4108
Fe -4.6185 2.5455 2.2739
```